A:
AlOsW | PBE-GGA | optimized geometry

Space group: No. 216

Geometry as POSCAR:
```
AlOsW
1.0
0.0000 2.9888 2.9888
2.9888 0.0000 2.9888
2.9888 2.9888 0.0000
Al Os W
1 1 1
direct
0.0000 0.0000 0.0000
0.5000 0.5000 0.5000
0.2500 0.2500 0.2500
```

---

B:
AlOsW | PBE-GGA | optimized geometry

Space group: No. 216

Geometry as POSCAR:
```
AlOsW
1.0
0.0000 2.9783 2.9783
2.9783 0.0000 2.9783
2.9783 2.9783 0.0000
Al Os W
1 1 1
direct
0.0000 0.0000 0.0000
0.2500 0.2500 0.2500
0.5000 0.5000 0.5000
```

---

Which is most stable? The ranking, best first, is B, A.

---

A:
AlZnOs | PBE-GGA | optimized geometry

Space group: No. 216

Geometry as POSCAR:
```
AlZnOs
1.0
0.0000 2.9473 2.9473
2.9473 0.0000 2.9473
2.9473 2.9473 0.0000
Al Zn Os
1 1 1
direct
0.0000 0.0000 0.0000
0.5000 0.5000 0.5000
0.2500 0.2500 0.2500
```

---

B:
AlZnOs | PBE-GGA | optimized geometry

Space group: No. 216

Geometry as POSCAR:
```
AlZnOs
1.0
0.0000 2.8935 2.8935
2.8935 0.0000 2.8935
2.8935 2.8935 0.0000
Al Zn Os
1 1 1
direct
0.0000 0.0000 0.0000
0.2500 0.2500 0.2500
0.7500 0.7500 0.7500
```

---

Which is most stable? The ranking, best first, is A, B.

---

A:
PaAlTc | PBE-GGA | optimized geometry

Space group: No. 216

Geometry as POSCAR:
```
PaAlTc
1.0
0.0000 3.2498 3.2498
3.2498 0.0000 3.2498
3.2498 3.2498 0.0000
Pa Al Tc
1 1 1
direct
0.0000 0.0000 0.0000
0.7500 0.7500 0.7500
0.2500 0.2500 0.2500
```

---

B:
PaAlTc | PBE-GGA | optimized geometry

Space group: No. 216

Geometry as POSCAR:
```
PaAlTc
1.0
0.0000 3.1691 3.1691
3.1691 0.0000 3.1691
3.1691 3.1691 0.0000
Pa Al Tc
1 1 1
direct
0.0000 0.0000 0.0000
0.2500 0.2500 0.2500
0.5000 0.5000 0.5000
```

---

C:
PaAlTc | PBE-GGA | optimized geometry

Space group: No. 12

Geometry as POSCAR:
```
PaAlTc
1.0
5.4036 -2.3465 0.0000
5.4036 2.3465 0.0000
-1.2170 0.0000 4.7880
Pa Al Tc
2 2 2
direct
0.1283 0.1283 0.3118
0.8717 0.8717 0.6882
0.4217 0.4217 0.2021
0.5783 0.5783 0.7979
0.1873 0.1873 0.8350
0.8127 0.8127 0.1650
```

---

Which is most stable? The ranking, best first, is C, B, A.

---

A:
PaAlTl | PBE-GGA | optimized geometry

Space group: No. 216

Geometry as POSCAR:
```
PaAlTl
1.0
0.0000 3.5482 3.5482
3.5482 0.0000 3.5482
3.5482 3.5482 0.0000
Pa Al Tl
1 1 1
direct
0.0000 0.0000 0.0000
0.7500 0.7500 0.7500
0.2500 0.2500 0.2500
```

---

B:
PaAlTl | PBE-GGA | optimized geometry

Space group: No. 216

Geometry as POSCAR:
```
PaAlTl
1.0
0.0000 3.4088 3.4088
3.4088 0.0000 3.4088
3.4088 3.4088 0.0000
Pa Al Tl
1 1 1
direct
0.0000 0.0000 0.0000
0.2500 0.2500 0.2500
0.5000 0.5000 0.5000
```

---

Which is most stable? The ranking, best first, is B, A.

---

A:
ZrPaAl | PBE-GGA | optimized geometry

Space group: No. 216

Geometry as POSCAR:
```
ZrPaAl
1.0
0.0000 3.4119 3.4119
3.4119 0.0000 3.4119
3.4119 3.4119 0.0000
Zr Pa Al
1 1 1
direct
0.0000 0.0000 0.0000
0.7500 0.7500 0.7500
0.5000 0.5000 0.5000
```

---

B:
ZrPaAl | PBE-GGA | optimized geometry

Space group: No. 216

Geometry as POSCAR:
```
ZrPaAl
1.0
0.0000 3.3549 3.3549
3.3549 0.0000 3.3549
3.3549 3.3549 0.0000
Zr Pa Al
1 1 1
direct
0.0000 0.0000 0.0000
0.5000 0.5000 0.5000
0.7500 0.7500 0.7500
```

---

Which is most stable? The ranking, best first, is B, A.

---

A:
PuAlPb | PBE-GGA | optimized geometry

Space group: No. 216

Geometry as POSCAR:
```
PuAlPb
1.0
0.0000 3.5431 3.5431
3.5431 0.0000 3.5431
3.5431 3.5431 0.0000
Pu Al Pb
1 1 1
direct
0.0000 0.0000 0.0000
0.5000 0.5000 0.5000
0.7500 0.7500 0.7500
```

---

B:
PuAlPb | PBE-GGA | optimized geometry

Space group: No. 216

Geometry as POSCAR:
```
PuAlPb
1.0
0.0000 3.7096 3.7096
3.7096 0.0000 3.7096
3.7096 3.7096 0.0000
Pu Al Pb
1 1 1
direct
0.0000 0.0000 0.0000
0.7500 0.7500 0.7500
0.2500 0.2500 0.2500
```

---

Which is most stable? The ranking, best first, is A, B.

---

A:
UAlPb | PBE-GGA | optimized geometry

Space group: No. 216

Geometry as POSCAR:
```
UAlPb
1.0
0.0000 3.5694 3.5694
3.5694 0.0000 3.5694
3.5694 3.5694 0.0000
U Al Pb
1 1 1
direct
0.0000 0.0000 0.0000
0.7500 0.7500 0.7500
0.2500 0.2500 0.2500
```

---

B:
UAlPb | PBE-GGA | optimized geometry

Space group: No. 216

Geometry as POSCAR:
```
UAlPb
1.0
0.0000 3.4337 3.4337
3.4337 0.0000 3.4337
3.4337 3.4337 0.0000
U Al Pb
1 1 1
direct
0.0000 0.0000 0.0000
0.7500 0.7500 0.7500
0.5000 0.5000 0.5000
```

---

Which is most stable? The ranking, best first, is B, A.

---

A:
TbAlPdPt | PBE-GGA | optimized geometry

Space group: No. 186

Geometry as POSCAR:
```
TbAlPdPt
1.0
4.3574 0.0000 0.0000
-2.1787 3.7736 0.0000
0.0000 0.0000 9.2471
Tb Al Pd Pt
2 2 2 2
direct
0.3333 0.6667 0.0000
0.6667 0.3333 0.5000
0.0000 0.0000 0.2396
0.0000 0.0000 0.7396
0.3333 0.6667 0.3306
0.6667 0.3333 0.8306
0.3333 0.6667 0.6696
0.6667 0.3333 0.1696
```

---

B:
TbAlPdPt | PBE-GGA | optimized geometry

Space group: No. 187

Geometry as POSCAR:
```
TbAlPdPt
1.0
4.3579 0.0000 0.0000
-2.1790 3.7741 0.0000
0.0000 0.0000 9.2535
Tb Al Pd Pt
2 2 2 2
direct
0.0000 0.0000 0.0000
0.3333 0.6667 0.5000
0.6667 0.3333 0.2562
0.6667 0.3333 0.7438
0.3333 0.6667 0.1660
0.3333 0.6667 0.8340
0.0000 0.0000 0.3248
0.0000 0.0000 0.6752
```

---

Which is most stable? The ranking, best first, is A, B.

---

A:
Tm3Al3SiPd2 | PBE-GGA | optimized geometry

Space group: No. 189

Geometry as POSCAR:
```
Tm3Al3SiPd2
1.0
7.4672 0.0000 0.0000
-3.7336 6.4668 0.0000
0.0000 0.0000 3.8351
Tm Al Si Pd
3 3 1 2
direct
0.0000 0.2734 0.0000
0.2734 0.0000 0.0000
0.7266 0.7266 0.0000
0.0000 0.6005 0.5000
0.3995 0.3995 0.5000
0.6005 0.0000 0.5000
0.0000 0.0000 0.5000
0.3333 0.6667 0.0000
0.6667 0.3333 0.0000
```

---

B:
Tm3Al3SiPd2 | PBE-GGA | optimized geometry

Space group: No. 189

Geometry as POSCAR:
```
Tm3Al3SiPd2
1.0
7.3254 0.0000 0.0000
-3.6627 6.3440 0.0000
0.0000 0.0000 3.7522
Tm Al Si Pd
3 3 1 2
direct
0.0000 0.5996 0.0000
0.4004 0.4004 0.0000
0.5996 0.0000 0.0000
0.0000 0.2556 0.5000
0.2556 0.0000 0.5000
0.7444 0.7444 0.5000
0.0000 0.0000 0.0000
0.3333 0.6667 0.5000
0.6667 0.3333 0.5000
```

---

Which is most stable? The ranking, best first, is B, A.

---

A:
Al2Zn2Pd | PBE-GGA | optimized geometry

Space group: No. 139

Geometry as POSCAR:
```
Al2Zn2Pd
1.0
-1.7459 1.7459 6.5050
1.7459 -1.7459 6.5050
1.7459 1.7459 -6.5050
Al Zn Pd
2 2 1
direct
0.0979 0.0979 0.0000
0.9021 0.9021 0.0000
0.2500 0.7500 0.5000
0.7500 0.2500 0.5000
0.5000 0.5000 0.0000
```

---

B:
Al2Zn2Pd | PBE-GGA | optimized geometry

Space group: No. 139

Geometry as POSCAR:
```
Al2Zn2Pd
1.0
-1.8513 1.8513 5.9787
1.8513 -1.8513 5.9787
1.8513 1.8513 -5.9787
Al Zn Pd
2 2 1
direct
0.2500 0.7500 0.5000
0.7500 0.2500 0.5000
0.0983 0.0983 0.0000
0.9017 0.9017 0.0000
0.5000 0.5000 0.0000
```

---

Which is most stable? The ranking, best first, is A, B.

---

A:
PmAl2 | PBE-GGA | optimized geometry

Space group: No. 227

Geometry as POSCAR:
```
PmAl2
1.0
0.0000 4.0032 4.0032
4.0032 0.0000 4.0032
4.0032 4.0032 0.0000
Pm Al
2 4
direct
0.1250 0.1250 0.1250
0.8750 0.8750 0.8750
0.0000 0.5000 0.5000
0.5000 0.0000 0.5000
0.5000 0.5000 0.0000
0.5000 0.5000 0.5000
```

---

B:
PmAl2 | PBE-GGA | optimized geometry

Space group: No. 227

Geometry as POSCAR:
```
PmAl2
1.0
0.0000 7.1164 7.1164
7.1164 0.0000 7.1164
7.1164 7.1164 0.0000
Pm Al
2 4
direct
0.1250 0.1250 0.1250
0.8750 0.8750 0.8750
0.0000 0.0000 0.0000
0.0000 0.0000 0.5000
0.0000 0.5000 0.0000
0.5000 0.0000 0.0000
```

---

Which is most stable? The ranking, best first, is A, B.

---

A:
PmAl3 | PBE-GGA | optimized geometry

Space group: No. 194

Geometry as POSCAR:
```
PmAl3
1.0
6.4678 0.0000 0.0000
-3.2339 5.6013 0.0000
0.0000 0.0000 4.5966
Pm Al
2 6
direct
0.3333 0.6667 0.2500
0.6667 0.3333 0.7500
0.1428 0.2857 0.7500
0.1428 0.8572 0.7500
0.2857 0.1428 0.2500
0.7143 0.8572 0.7500
0.8572 0.1428 0.2500
0.8572 0.7143 0.2500
```

---

B:
PmAl3 | PBE-GGA | optimized geometry

Space group: No. 225

Geometry as POSCAR:
```
PmAl3
1.0
0.0000 3.4705 3.4705
3.4705 0.0000 3.4705
3.4705 3.4705 0.0000
Pm Al
1 3
direct
0.0000 0.0000 0.0000
0.2500 0.2500 0.2500
0.5000 0.5000 0.5000
0.7500 0.7500 0.7500
```

---

Which is most stable? The ranking, best first, is A, B.